(1)
# LuPd3 | OQMD | PBE | optimized geometry
data_LuPd3
_cell_length_a 4.0649
_cell_length_b 4.0649
_cell_length_c 4.0649
_cell_angle_alpha 90.00
_cell_angle_beta 90.00
_cell_angle_gamma 90.00
_space_group_name_H-M_alt 'P m -3 m'
_space_group_IT_number 221
_space_group_name_Hall '-P 4 2 3'
loop_
_atom_site_label
_atom_site_fract_x
_atom_site_fract_y
_atom_site_fract_z
Lu1 0.0000 0.0000 0.0000
Pd1 0.0000 0.5000 0.5000
# ΔH_f (0 K) (kcal/mol of atoms): -21.6

***

(2)
# In2Ag2O5 | OQMD | PBE | optimized geometry
data_In2Ag2O5
_cell_length_a 3.9212
_cell_length_b 3.9212
_cell_length_c 8.3141
_cell_angle_alpha 90.00
_cell_angle_beta 90.00
_cell_angle_gamma 90.00
_space_group_name_H-M_alt 'P 4/m m m'
_space_group_IT_number 123
_space_group_name_Hall '-P 4 2'
loop_
_atom_site_label
_atom_site_fract_x
_atom_site_fract_y
_atom_site_fract_z
In1 0.0000 0.0000 0.2496
Ag1 0.5000 0.5000 0.0000
Ag2 0.5000 0.5000 0.5000
O1 0.0000 0.0000 0.0000
O2 0.0000 0.5000 0.3404
# Total energy (eV/f.u.): -40.96

***

(3)
# YCuNiGe | OQMD | PBE | optimized geometry
data_YCuNiGe
_cell_length_a 6.4167
_cell_length_b 6.4167
_cell_length_c 6.4167
_cell_angle_alpha 90.00
_cell_angle_beta 90.00
_cell_angle_gamma 90.00
_space_group_name_H-M_alt 'F -4 3 m'
_space_group_IT_number 216
_space_group_name_Hall 'F -4 2 3'
loop_
_atom_site_label
_atom_site_fract_x
_atom_site_fract_y
_atom_site_fract_z
Y1 0.0000 0.0000 0.0000
Cu1 0.2500 0.2500 0.2500
Ni1 0.0000 0.0000 0.5000
Ge1 0.2500 0.2500 0.7500
# Total energy (eV/f.u.): -21.47

***

(4)
# BaPrCuSi3 | OQMD | PBE | optimized geometry
data_BaPrCuSi3
_cell_length_a 8.1974
_cell_length_b 9.1841
_cell_length_c 14.5582
_cell_angle_alpha 90.00
_cell_angle_beta 90.00
_cell_angle_gamma 90.00
_space_group_name_H-M_alt 'F m m m'
_space_group_IT_number 69
_space_group_name_Hall '-F 2 2'
loop_
_atom_site_label
_atom_site_fract_x
_atom_site_fract_y
_atom_site_fract_z
Ba1 0.2500 0.2500 0.2500
Pr1 0.0000 0.2381 0.0000
Cu1 0.0000 0.0000 0.3358
Si1 0.0000 0.0000 0.1612
Si2 0.2448 0.0000 0.4195
# Total energy (eV/f.u.): -29.82

***

(5)
# Pr3CdO | OQMD | PBE | optimized geometry
data_Pr3CdO
_cell_length_a 5.0147
_cell_length_b 5.0147
_cell_length_c 5.0147
_cell_angle_alpha 90.00
_cell_angle_beta 90.00
_cell_angle_gamma 90.00
_space_group_name_H-M_alt 'P m -3 m'
_space_group_IT_number 221
_space_group_name_Hall '-P 4 2 3'
loop_
_atom_site_label
_atom_site_fract_x
_atom_site_fract_y
_atom_site_fract_z
Pr1 0.0000 0.0000 0.5000
Cd1 0.5000 0.5000 0.5000
O1 0.0000 0.0000 0.0000
# Total energy (eV/f.u.): -26.52

***

(6)
# FePd2Au | OQMD | PBE | optimized geometry
data_FePd2Au
_cell_length_a 6.2835
_cell_length_b 6.2835
_cell_length_c 6.2835
_cell_angle_alpha 90.00
_cell_angle_beta 90.00
_cell_angle_gamma 90.00
_space_group_name_H-M_alt 'F -4 3 m'
_space_group_IT_number 216
_space_group_name_Hall 'F -4 2 3'
loop_
_atom_site_label
_atom_site_fract_x
_atom_site_fract_y
_atom_site_fract_z
Fe1 0.0000 0.0000 0.0000
Pd1 0.0000 0.0000 0.5000
Pd2 0.2500 0.2500 0.2500
Au1 0.2500 0.2500 0.7500
# ΔH_f (0 K) (kcal/mol of atoms): 0.3

***

(7)
# MgNiBiAu | OQMD | PBE | optimized geometry
data_MgNiBiAu
_cell_length_a 6.7497
_cell_length_b 6.7497
_cell_length_c 6.7497
_cell_angle_alpha 90.00
_cell_angle_beta 90.00
_cell_angle_gamma 90.00
_space_group_name_H-M_alt 'F -4 3 m'
_space_group_IT_number 216
_space_group_name_Hall 'F -4 2 3'
loop_
_atom_site_label
_atom_site_fract_x
_atom_site_fract_y
_atom_site_fract_z
Mg1 0.0000 0.0000 0.0000
Ni1 0.2500 0.2500 0.2500
Bi1 0.0000 0.0000 0.5000
Au1 0.2500 0.2500 0.7500
# Total energy (eV/f.u.): -14.50

***

(8)
# Pr2NdAgHg3Pd2 | OQMD | PBE | optimized geometry
data_Pr2NdAgHg3Pd2
_cell_length_a 3.9374
_cell_length_b 13.7441
_cell_length_c 7.9367
_cell_angle_alpha 90.00
_cell_angle_beta 90.00
_cell_angle_gamma 90.00
_space_group_name_H-M_alt 'A m m 2'
_space_group_IT_number 38
_space_group_name_Hall 'A 2 -2'
loop_
_atom_site_label
_atom_site_fract_x
_atom_site_fract_y
_atom_site_fract_z
Pr1 0.0000 0.2039 0.0000
Nd1 0.0000 0.0000 0.6119
Ag1 0.0000 0.0000 0.2044
Hg1 0.5000 0.0000 0.9357
Hg2 0.5000 0.1334 0.3379
Pd1 0.5000 0.1662 0.7036
# ΔH_f (0 K) (kcal/mol of atoms): -14.0

***

(9)
# Tm2Tl3In | OQMD | PBE | optimized geometry
data_Tm2Tl3In
_cell_length_a 4.6158
_cell_length_b 14.3782
_cell_length_c 4.6236
_cell_angle_alpha 90.00
_cell_angle_beta 90.00
_cell_angle_gamma 90.00
_space_group_name_H-M_alt 'C m m m'
_space_group_IT_number 65
_space_group_name_Hall '-C 2 2'
loop_
_atom_site_label
_atom_site_fract_x
_atom_site_fract_y
_atom_site_fract_z
Tm1 0.0000 0.1552 0.0000
Tl1 0.0000 0.3252 0.5000
Tl2 0.0000 0.5000 0.0000
In1 0.0000 0.0000 0.5000
# Total energy (eV/f.u.): -20.27

***

(10)
# GdMgZn | OQMD | PBE | optimized geometry
data_GdMgZn
_cell_length_a 4.2647
_cell_length_b 4.2647
_cell_length_c 9.6503
_cell_angle_alpha 90.00
_cell_angle_beta 90.00
_cell_angle_gamma 120.00
_space_group_name_H-M_alt 'P 3 m 1'
_space_group_IT_number 156
_space_group_name_Hall 'P 3 -2"'
loop_
_atom_site_label
_atom_site_fract_x
_atom_site_fract_y
_atom_site_fract_z
Gd1 0.0000 0.0000 0.0000
Gd2 0.3333 0.6667 0.4532
Mg1 0.3333 0.6667 0.7907
Mg2 0.6667 0.3333 0.2236
Zn1 0.0000 0.0000 0.6388
Zn2 0.6667 0.3333 0.6642
# Total energy (eV/f.u.): -7.44

***

(11)
# TbAlNO | OQMD | PBE | optimized geometry
data_TbAlNO
_cell_length_a 3.7906
_cell_length_b 3.7906
_cell_length_c 8.4554
_cell_angle_alpha 90.00
_cell_angle_beta 90.00
_cell_angle_gamma 90.00
_space_group_name_H-M_alt 'P 4/n m m'
_space_group_IT_number 129
loop_
_space_group_symop_operation_xyz
'x,y,z'
'-x,-y,-z'
'-y+1/2,x,z'
'y+1/2,-x,-z'
'-x+1/2,-y+1/2,z'
'x+1/2,y+1/2,-z'
'y,-x+1/2,z'
'-y,x+1/2,-z'
'x+1/2,-y,-z'
'-x+1/2,y,z'
'-y,-x,-z'
'y,x,z'
'-x,y+1/2,-z'
'x,-y+1/2,z'
'y+1/2,x+1/2,-z'
'-y+1/2,-x+1/2,z'
loop_
_atom_site_label
_atom_site_fract_x
_atom_site_fract_y
_atom_site_fract_z
Tb1 0.2500 0.2500 0.1365
Al1 0.2500 0.7500 0.5000
N1 0.2500 0.2500 0.4369
O1 0.2500 0.7500 0.0000
# Total energy (eV/f.u.): -28.95

***

(12)
# ErLuPa | OQMD | PBE | optimized geometry
data_ErLuPa
_cell_length_a 7.3830
_cell_length_b 7.3830
_cell_length_c 7.3830
_cell_angle_alpha 90.00
_cell_angle_beta 90.00
_cell_angle_gamma 90.00
_space_group_name_H-M_alt 'F -4 3 m'
_space_group_IT_number 216
_space_group_name_Hall 'F -4 2 3'
loop_
_atom_site_label
_atom_site_fract_x
_atom_site_fract_y
_atom_site_fract_z
Er1 0.0000 0.0000 0.0000
Lu1 0.2500 0.2500 0.7500
Pa1 0.2500 0.2500 0.2500
# ΔH_f (0 K) (kcal/mol of atoms): 24.9

***

(13)
# Cs2ReTe3 | OQMD | PBE | optimized geometry
data_Cs2ReTe3
_cell_length_a 15.6230
_cell_length_b 7.9013
_cell_length_c 11.3380
_cell_angle_alpha 90.00
_cell_angle_beta 127.13
_cell_angle_gamma 90.00
_space_group_name_H-M_alt 'C 1 2/m 1'
_space_group_IT_number 12
_space_group_name_Hall '-C 2y'
loop_
_atom_site_label
_atom_site_fract_x
_atom_site_fract_y
_atom_site_fract_z
Cs1 0.0882 0.0000 0.3722
Cs2 0.2003 0.5000 0.8147
Re1 0.0946 0.5000 0.1452
Te1 0.0000 0.2242 0.0000
Te2 0.1007 0.5000 0.3770
Te3 0.2163 0.0000 0.7894
# Total energy (eV/f.u.): -25.98

***

(14)
# ErSiGeW4 | OQMD | PBE | optimized geometry
data_ErSiGeW4
_cell_length_a 3.4157
_cell_length_b 4.3600
_cell_length_c 16.1590
_cell_angle_alpha 90.00
_cell_angle_beta 90.00
_cell_angle_gamma 90.00
_space_group_name_H-M_alt 'A m m 2'
_space_group_IT_number 38
_space_group_name_Hall 'A 2 -2'
loop_
_atom_site_label
_atom_site_fract_x
_atom_site_fract_y
_atom_site_fract_z
Er1 0.0000 0.0000 0.0000
Si1 0.5000 0.0000 0.4266
Ge1 0.5000 0.0000 0.5747
W1 0.0000 0.0000 0.3155
W2 0.0000 0.0000 0.6927
W3 0.5000 0.0000 0.1785
W4 0.5000 0.0000 0.8289
# Total energy (eV/f.u.): -67.38

***

(15)
# TlCu17 | OQMD | PBE | optimized geometry
data_TlCu17
_cell_length_a 4.3979
_cell_length_b 5.0903
_cell_length_c 29.1704
_cell_angle_alpha 90.00
_cell_angle_beta 90.05
_cell_angle_gamma 90.00
_space_group_name_H-M_alt 'P 1 21/m 1'
_space_group_IT_number 11
_space_group_name_Hall '-P 2yb'
loop_
_atom_site_label
_atom_site_fract_x
_atom_site_fract_y
_atom_site_fract_z
Tl1 0.1654 0.2500 0.3218
Cu1 0.0000 0.0000 0.0000
Cu2 0.0037 0.0029 0.2142
Cu3 0.1653 0.7500 0.0714
Cu4 0.1652 0.7500 0.2847
Cu5 0.1656 0.2500 0.0714
Cu6 0.1657 0.7500 0.8575
Cu7 0.1666 0.2500 0.8572
Cu8 0.3339 0.9999 0.1428
Cu9 0.3347 0.0004 0.9287
Cu10 0.3348 0.0034 0.7152
Cu11 0.4976 0.7500 0.7859
Cu12 0.4991 0.2500 0.7861
Cu13 0.5003 0.2500 0.0001
# Total energy (eV/f.u.): -64.04

***

(16)
# Ac2ZnAu3 | OQMD | PBE | optimized geometry
data_Ac2ZnAu3
_cell_length_a 8.0572
_cell_length_b 9.5205
_cell_length_c 16.4486
_cell_angle_alpha 90.00
_cell_angle_beta 90.00
_cell_angle_gamma 90.00
_space_group_name_H-M_alt 'F m m m'
_space_group_IT_number 69
_space_group_name_Hall '-F 2 2'
loop_
_atom_site_label
_atom_site_fract_x
_atom_site_fract_y
_atom_site_fract_z
Ac1 0.2443 0.0000 0.0000
Ac2 0.2500 0.2500 0.2500
Zn1 0.0000 0.0000 0.3332
Au1 0.0000 0.0000 0.1723
Au2 0.0000 0.2385 0.4134
# ΔH_f (0 K) (kcal/mol of atoms): -17.8

***

(17)
# Y2Cu2SnGe | OQMD | PBE | optimized geometry
data_Y2Cu2SnGe
_cell_length_a 4.4202
_cell_length_b 4.4202
_cell_length_c 7.2356
_cell_angle_alpha 90.00
_cell_angle_beta 90.00
_cell_angle_gamma 120.00
_space_group_name_H-M_alt 'P 3 m 1'
_space_group_IT_number 156
_space_group_name_Hall 'P 3 -2"'
loop_
_atom_site_label
_atom_site_fract_x
_atom_site_fract_y
_atom_site_fract_z
Y1 0.0000 0.0000 0.0000
Y2 0.0000 0.0000 0.4831
Cu1 0.3333 0.6667 0.2861
Cu2 0.6667 0.3333 0.8056
Sn1 0.3333 0.6667 0.7200
Ge1 0.6667 0.3333 0.2138
# Total energy (eV/f.u.): -32.79

***

(18)
# K2PuCl6 | OQMD | PBE | optimized geometry
data_K2PuCl6
_cell_length_a 6.8734
_cell_length_b 6.8734
_cell_length_c 13.4265
_cell_angle_alpha 90.00
_cell_angle_beta 90.00
_cell_angle_gamma 90.00
_space_group_name_H-M_alt 'P 42/m n m'
_space_group_IT_number 136
_space_group_name_Hall '-P 4n 2n'
loop_
_atom_site_label
_atom_site_fract_x
_atom_site_fract_y
_atom_site_fract_z
K1 0.0000 0.0000 0.1657
Pu1 0.0000 0.0000 0.5000
Cl1 0.1839 0.1839 0.3587
Cl2 0.2324 0.2324 0.0000
# Total energy (eV/f.u.): -44.22

***

(19)
# MgZnFeAs | OQMD | PBE | optimized geometry
data_MgZnFeAs
_cell_length_a 6.4010
_cell_length_b 6.4010
_cell_length_c 6.4010
_cell_angle_alpha 90.00
_cell_angle_beta 90.00
_cell_angle_gamma 90.00
_space_group_name_H-M_alt 'F -4 3 m'
_space_group_IT_number 216
_space_group_name_Hall 'F -4 2 3'
loop_
_atom_site_label
_atom_site_fract_x
_atom_site_fract_y
_atom_site_fract_z
Mg1 0.0000 0.0000 0.0000
Zn1 0.0000 0.0000 0.5000
Fe1 0.2500 0.2500 0.7500
As1 0.2500 0.2500 0.2500
# Total energy (eV/f.u.): -14.68

***

(20)
# Pr2Ga2Pd3Pt | OQMD | PBE | optimized geometry
data_Pr2Ga2Pd3Pt
_cell_length_a 4.4562
_cell_length_b 4.4562
_cell_length_c 9.4917
_cell_angle_alpha 90.00
_cell_angle_beta 90.00
_cell_angle_gamma 120.00
_space_group_name_H-M_alt 'P 3 m 1'
_space_group_IT_number 156
_space_group_name_Hall 'P 3 -2"'
loop_
_atom_site_label
_atom_site_fract_x
_atom_site_fract_y
_atom_site_fract_z
Pr1 0.0000 0.0000 0.0000
Pr2 0.3333 0.6667 0.4962
Ga1 0.6667 0.3333 0.2420
Ga2 0.6667 0.3333 0.7458
Pd1 0.0000 0.0000 0.3267
Pd2 0.0000 0.0000 0.6726
Pd3 0.3333 0.6667 0.8183
Pt1 0.3333 0.6667 0.1735
# Total energy (eV/f.u.): -44.16

***

(21)
# NdCuHg | OQMD | PBE | optimized geometry
data_NdCuHg
_cell_length_a 6.6644
_cell_length_b 6.6644
_cell_length_c 6.6644
_cell_angle_alpha 90.00
_cell_angle_beta 90.00
_cell_angle_gamma 90.00
_space_group_name_H-M_alt 'F -4 3 m'
_space_group_IT_number 216
_space_group_name_Hall 'F -4 2 3'
loop_
_atom_site_label
_atom_site_fract_x
_atom_site_fract_y
_atom_site_fract_z
Nd1 0.0000 0.0000 0.0000
Cu1 0.2500 0.2500 0.7500
Hg1 0.0000 0.0000 0.5000
# ΔH_f (0 K) (kcal/mol of atoms): -4.8

***

(22)
# ZrCuTcPb | OQMD | PBE | optimized geometry
data_ZrCuTcPb
_cell_length_a 6.6685
_cell_length_b 6.6685
_cell_length_c 6.6685
_cell_angle_alpha 90.00
_cell_angle_beta 90.00
_cell_angle_gamma 90.00
_space_group_name_H-M_alt 'F -4 3 m'
_space_group_IT_number 216
_space_group_name_Hall 'F -4 2 3'
loop_
_atom_site_label
_atom_site_fract_x
_atom_site_fract_y
_atom_site_fract_z
Zr1 0.0000 0.0000 0.0000
Cu1 0.0000 0.0000 0.5000
Tc1 0.2500 0.2500 0.7500
Pb1 0.2500 0.2500 0.2500
# Total energy (eV/f.u.): -24.73

***

(23)
# Ga2FeTe | OQMD | PBE | optimized geometry
data_Ga2FeTe
_cell_length_a 6.7524
_cell_length_b 6.7524
_cell_length_c 6.7524
_cell_angle_alpha 90.00
_cell_angle_beta 90.00
_cell_angle_gamma 90.00
_space_group_name_H-M_alt 'F -4 3 m'
_space_group_IT_number 216
_space_group_name_Hall 'F -4 2 3'
loop_
_atom_site_label
_atom_site_fract_x
_atom_site_fract_y
_atom_site_fract_z
Ga1 0.0000 0.0000 0.0000
Ga2 0.2500 0.2500 0.2500
Fe1 0.2500 0.2500 0.7500
Te1 0.0000 0.0000 0.5000
# Total energy (eV/f.u.): -15.99

***

(24)
# Y2CdPd2 | OQMD | PBE | optimized geometry
data_Y2CdPd2
_cell_length_a 5.4090
_cell_length_b 5.4090
_cell_length_c 8.2007
_cell_angle_alpha 90.00
_cell_angle_beta 90.00
_cell_angle_gamma 90.00
_space_group_name_H-M_alt 'I 4/m m m'
_space_group_IT_number 139
_space_group_name_Hall '-I 4 2'
loop_
_atom_site_label
_atom_site_fract_x
_atom_site_fract_y
_atom_site_fract_z
Y1 0.0000 0.5000 0.2500
Cd1 0.0000 0.0000 0.0000
Pd1 0.0000 0.0000 0.3443
# ΔH_f (0 K) (kcal/mol of atoms): -13.5